[1]
Below is YIr2Cl after structural relaxation, with properties calculated at the GGA-PBE level.

Unit cell a=3.0587 b=3.0587 c=7.7463 alpha=90.00 beta=90.00 gamma=90.00
With the nearest neighbours (Å) after each atom.
Space group P4/mmm (No. 123)
Symmetry-distinct sites (fractional):
Y 0.0000 0.0000 0.0000 [1 per cell]  8 Ir 2.98, 4 Y 3.06
Ir 0.5000 0.5000 0.2650 [2 per cell]  4 Cl 2.83, 4 Y 2.98, 4 Ir 3.06
Cl 0.0000 0.0000 0.5000 [1 per cell]  8 Ir 2.83, 4 Cl 3.06

**ΔE to the lowest computed polymorph**: 839 meV per atom
**E**: -24.9 eV per cell
**Size of the total moment**: 0.000 μB/atom
**Formation energy (no corrections)**: 110.6 kJ/mol of formula units


[2]
Below is Ca2PbAu3 after structural relaxation, with properties calculated at the GGA-PBE level.

Unit cell a=3.6380 b=3.6380 c=10.8813 alpha=90.00 beta=90.00 gamma=90.00
With the nearest neighbours (Å) after each atom.
Space group P4/mmm (No. 123)
Symmetry-distinct sites (fractional):
Ca 0.0000 0.0000 0.1693 [2 per cell]  8 Au 3.07-3.16
Pb 0.0000 0.0000 0.5000 [1 per cell]  8 Au 3.21
Au 0.5000 0.5000 0.0000 [1 per cell]  8 Ca 3.16, 2 Au 3.52
Au 0.5000 0.5000 0.3232 [2 per cell]  4 Ca 3.07, 4 Pb 3.21

**ΔE to the lowest computed polymorph**: 48 meV per atom
**E**: -21.0 eV per cell
**Energy of formation from the pure elements**: -0.58 eV/atom
**Size of the total moment**: 0.000 μB/atom


[3]
Below is Pa2NbNiN5 after structural relaxation, with properties calculated at the GGA-PBE level.

Unit cell a=3.2335 b=13.1370 c=10.1127 alpha=90.00 beta=90.00 gamma=90.00
With the nearest neighbours (Å) after each atom.
Space group Cmc2_1 (No. 36)
Symmetry-distinct sites (fractional):
Pa 0.0000 0.1183 0.0000 [4 per cell]  8 N 2.32-2.53
Pa 0.0000 0.1321 0.6207 [4 per cell]  5 N 2.30-2.43
Nb 0.0000 0.1859 0.3173 [4 per cell]  6 N 2.04-2.25
Ni 0.0000 0.4917 0.7977 [4 per cell]  4 N 1.93-2.06
N 0.0000 0.0423 0.3930 [4 per cell]  2 Ni 1.93, 1 Nb 2.04
N 0.0000 0.2932 0.9694 [4 per cell]  2 Nb 2.25, 3 Pa 2.32-2.43
N 0.0000 0.3043 0.6637 [4 per cell]  2 Nb 2.25, 1 Pa 2.30
N 0.0000 0.3527 0.3201 [4 per cell]  1 Ni 2.06, 1 Nb 2.19
N 0.0000 0.4943 0.1029 [4 per cell]  1 Ni 1.98

**E**: -344.9 eV per cell
**Size of the total moment**: 0.000 μB/atom
**Formation energy (no corrections)**: -941.6 kJ/mol of formula units


[4]
Below is La2Pm5Ho12 after structural relaxation, with properties calculated at the GGA-PBE level.

Unit cell a=15.7114 b=9.3266 c=8.6478 alpha=90.00 beta=91.82 gamma=90.00
With the nearest neighbours (Å) after each atom.
Space group C2/m (No. 12)
Symmetry-distinct sites (fractional):
La 0.0000 0.1806 0.0000 [4 per cell]  1 La 3.37, 8 Ho 3.40-3.64, 2 Pm 3.61
Pm 0.0000 0.5000 0.5000 [2 per cell]  10 Ho 3.49-3.76, 2 Pm 3.66
Pm 0.2030 0.0000 0.0142 [4 per cell]  8 Ho 3.45-3.72, 2 La 3.61, 1 Pm 3.68
Pm 0.2304 0.5000 0.5737 [4 per cell]  8 Ho 3.39-3.56, 2 Pm 3.66-3.68
Ho 0.0582 0.0000 0.3328 [4 per cell]  2 Pm 3.39-3.63, 7 Ho 3.42-3.47, 2 La 3.43
Ho 0.0839 0.5000 0.8786 [4 per cell]  5 Ho 3.42-3.69, 2 La 3.44, 3 Pm 3.45-3.56
Ho 0.1277 0.1889 0.6567 [8 per cell]  4 Pm 3.41-3.76, 6 Ho 3.42-3.81, 1 La 3.64
Ho 0.1519 0.3219 0.2433 [8 per cell]  4 Ho 3.32-3.69, 1 La 3.40, 4 Pm 3.50-3.70

**ΔE to the lowest computed polymorph**: 53 meV per atom
**E**: -172.0 eV per cell
**Energy of formation from the pure elements**: 0.13 eV/atom
**Size of the total moment**: 0.000 μB/atom


[5]
Below is BeAs2Se after structural relaxation, with properties calculated at the GGA-PBE level.

Unit cell a=4.5546 b=3.6750 c=6.0370 alpha=90.00 beta=99.48 gamma=90.00
With the nearest neighbours (Å) after each atom.
Space group Pm (No. 6)
Symmetry-distinct sites (fractional):
Be 0.0000 0.0000 0.0000 [1 per cell]  2 Se 2.14, 1 As 2.23
As 0.1621 0.0000 0.3698 [1 per cell]  1 Be 2.23, 2 As 2.50
As 0.8029 0.5000 0.4110 [1 per cell]  2 As 2.50, 1 Se 2.53
Se 0.8586 0.5000 0.8353 [1 per cell]  2 Be 2.14

**ΔE to the lowest computed polymorph**: 172 meV per atom
**E**: -17.0 eV per cell
**Size of the total moment**: 0.000 μB/atom
**Formation energy (no corrections)**: -45.4 kJ/mol of formula units


[6]
Below is HfZr2AuO after structural relaxation, with properties calculated at the GGA-PBE level.

Unit cell a=4.4976 b=4.4976 c=4.3308 alpha=90.00 beta=90.00 gamma=90.00
With the nearest neighbours (Å) after each atom.
Space group P4/mmm (No. 123)
Symmetry-distinct sites (fractional):
Hf 0.0000 0.0000 0.0000 [1 per cell]  2 O 2.17
Zr 0.0000 0.5000 0.5000 [2 per cell]  2 O 2.25
Au 0.5000 0.5000 0.0000 [1 per cell]  8 Zr 3.12, 4 Hf 3.18
O 0.0000 0.0000 0.5000 [1 per cell]  2 Hf 2.17, 4 Zr 2.25

**E**: -41.3 eV per cell
**Size of the total moment**: 0.000 μB/atom
**Formation energy (no corrections)**: -578.7 kJ/mol of formula units


[7]
Below is LiLaTeI2 after structural relaxation, with properties calculated at the GGA-PBE level.

Unit cell a=6.3282 b=6.3282 c=6.1737 alpha=90.00 beta=90.00 gamma=90.00
With the nearest neighbours (Å) after each atom.
Space group P4/mmm (No. 123)
Symmetry-distinct sites (fractional):
Li 0.0000 0.0000 0.0000 [1 per cell]  8 I 4.42, 4 Te 4.47
La 0.5000 0.5000 0.5000 [1 per cell]  2 Te 3.09, 4 I 3.16
Te 0.5000 0.5000 0.0000 [1 per cell]  2 La 3.09
I 0.0000 0.5000 0.5000 [2 per cell]  2 La 3.16

**ΔE to the lowest computed polymorph**: 0 meV per atom
**E**: -18.0 eV per cell
**Size of the total moment**: 0.000 μB/atom
**Formation energy (no corrections)**: -477.5 kJ/mol of formula units


[8]
Below is BaSiAgP2 after structural relaxation, with properties calculated at the GGA-PBE level.

Unit cell a=5.8777 b=12.2897 c=6.8342 alpha=90.00 beta=90.00 gamma=90.00
With the nearest neighbours (Å) after each atom.
Space group Cmme (No. 67)
Symmetry-distinct sites (fractional):
Ba 0.0000 0.2500 0.2274 [4 per cell]  6 P 3.41-3.49, 2 Ag 3.59, 4 Si 3.74
Si 0.2500 0.0000 0.0000 [4 per cell]  4 P 2.31
Ag 0.0000 0.0000 0.5000 [4 per cell]  2 P 2.43
P 0.0000 0.0987 0.8088 [8 per cell]  2 Si 2.31, 1 Ag 2.43

**E**: -91.4 eV per cell
**Size of the total moment**: 0.000 μB/atom
**Formation energy (no corrections)**: -177.6 kJ/mol of formula units


[9]
Below is ScZn2P after structural relaxation, with properties calculated at the GGA-PBE level.

Unit cell a=6.4712 b=6.4712 c=6.4712 alpha=90.00 beta=90.00 gamma=90.00
With the nearest neighbours (Å) after each atom.
Space group F-43m (No. 216)
Symmetry-distinct sites (fractional):
Sc 0.0000 0.0000 0.0000 [4 per cell]  4 Zn 2.80, 4 P 2.80
Zn 0.0000 0.0000 0.5000 [4 per cell]  4 P 2.80, 4 Zn 2.80
Zn 0.2500 0.2500 0.2500 [4 per cell]  4 Zn 2.80, 4 Sc 2.80
P 0.2500 0.2500 0.7500 [4 per cell]  4 Sc 2.80, 4 Zn 2.80

**E**: -59.7 eV per cell
**Energy of formation from the pure elements**: -0.16 eV/atom
**Size of the total moment**: 0.000 μB/atom


[10]
Below is Li2TmOsO6 after structural relaxation, with properties calculated at the GGA-PBE level.

Unit cell a=5.3103 b=5.5039 c=9.3884 alpha=90.00 beta=124.30 gamma=90.00
With the nearest neighbours (Å) after each atom.
Space group P2_1/c (No. 14)
Symmetry-distinct sites (fractional):
Li 0.2350 0.0159 0.2445 [4 per cell]  3 O 2.01-2.06
Tm 0.0000 0.0000 0.5000 [2 per cell]  6 O 2.19-2.23
Os 0.5000 0.0000 0.0000 [2 per cell]  6 O 1.89-1.92
O 0.1511 0.0538 0.7700 [4 per cell]  1 Os 1.92, 1 Li 2.01
O 0.2523 0.6586 0.5576 [4 per cell]  1 Os 1.89, 1 Li 2.05
O 0.4196 0.2001 0.5670 [4 per cell]  1 Os 1.90, 1 Li 2.06

**E**: -137.5 eV per cell
**Size of the total moment**: 0.057 μB/atom
**Formation energy (no corrections)**: -1876.8 kJ/mol of formula units


[11]
Below is TbNdZnRh after structural relaxation, with properties calculated at the GGA-PBE level.

Unit cell a=4.4210 b=3.9543 c=10.7819 alpha=90.00 beta=90.00 gamma=90.00
With the nearest neighbours (Å) after each atom.
Space group Amm2 (No. 38)
Symmetry-distinct sites (fractional):
Tb 0.0000 0.0000 0.0000 [2 per cell]  3 Zn 2.98-3.16, 4 Rh 3.04
Nd 0.5000 0.0000 0.2795 [2 per cell]  3 Rh 3.05-3.07, 4 Zn 3.07
Zn 0.0000 0.0000 0.7071 [2 per cell]  2 Rh 2.71, 2 Tb 2.98
Rh 0.5000 0.0000 0.5620 [2 per cell]  2 Zn 2.71

**ΔE to the lowest computed polymorph**: 0 meV per atom
**E**: -40.4 eV per cell
**Energy of formation from the pure elements**: -0.55 eV/atom
**Size of the total moment**: 0.000 μB/atom


[12]
Below is Ba2Li3Mg12Pb after structural relaxation, with properties calculated at the GGA-PBE level.

Unit cell a=7.1731 b=7.1731 c=35.2055 alpha=90.00 beta=90.00 gamma=120.00
With the nearest neighbours (Å) after each atom.
Space group R-3m (No. 166, hexagonal axes)
Symmetry-distinct sites (fractional):
Ba 0.0000 0.0000 0.1415 [6 per cell]  12 Mg 3.83-3.91, 3 Pb 4.23
Li 0.0000 0.5000 0.0000 [9 per cell]  4 Mg 2.76
Mg 0.0047 0.5024 0.0981 [18 per cell]  2 Mg 2.99, 1 Pb 3.16
Mg 0.0622 0.5311 0.6228 [18 per cell]  2 Li 2.76, 4 Mg 2.92-2.99
Pb 0.0000 0.0000 0.5000 [3 per cell]  6 Mg 3.16

**E**: -92.0 eV per cell
**Energy of formation from the pure elements**: 0.10 eV/atom
**Size of the total moment**: 0.000 μB/atom